Entry 1:
Below is a geometry-optimized Cs2InSnSe4 structure, with properties calculated at the GGA-PBE level.

Cell and atoms, written as CIF:
```
data_Cs2InSnSe4
_cell_length_a 6.828
_cell_length_b 15.284
_cell_length_c 25.179
_cell_angle_alpha 90.00
_cell_angle_beta 90.00
_cell_angle_gamma 90.00
_space_group_name_H-M_alt 'F d d d'
_space_group_IT_number 70
loop_
_space_group_symop_operation_xyz
'x,y,z'
'-x,-y,-z'
'-x+1/4,-y+1/4,z'
'x+1/4,y+1/4,-z'
'x,-y+1/4,-z+1/4'
'-x,y+1/4,z+1/4'
'-x+1/4,y,-z+1/4'
'x+1/4,-y,z+1/4'
'x,y+1/2,z+1/2'
'-x,-y+1/2,-z+1/2'
'-x+1/4,-y+3/4,z+1/2'
'x+1/4,y+3/4,-z+1/2'
'x,-y+3/4,-z+3/4'
'-x,y+3/4,z+3/4'
'-x+1/4,y+1/2,-z+3/4'
'x+1/4,-y+1/2,z+3/4'
'x+1/2,y,z+1/2'
'-x+1/2,-y,-z+1/2'
'-x+3/4,-y+1/4,z+1/2'
'x+3/4,y+1/4,-z+1/2'
'x+1/2,-y+1/4,-z+3/4'
'-x+1/2,y+1/4,z+3/4'
'-x+3/4,y,-z+3/4'
'x+3/4,-y,z+3/4'
'x+1/2,y+1/2,z'
'-x+1/2,-y+1/2,-z'
'-x+3/4,-y+3/4,z'
'x+3/4,y+3/4,-z'
'x+1/2,-y+3/4,-z+1/4'
'-x+1/2,y+3/4,z+1/4'
'-x+3/4,y+1/2,-z+1/4'
'x+3/4,-y+1/2,z+1/4'
loop_
_atom_site_label
_atom_site_fract_x
_atom_site_fract_y
_atom_site_fract_z
Cs1 0.125 0.125 0.306
In1 0.125 0.125 0.125
Sn1 0.125 0.125 0.625
Se1 0.111 0.276 0.431
```

Results
N(E_F): 41.5 states/eV/cell
Size of the total moment: 0.6 μB per formula unit
Formation energy without anion corrections: -18.246 kcal/mol of atoms
Total DFT energy (no corrections): -28.7 eV/f.u.

Entry 2:
Below is a geometry-optimized ErZnIrRh structure, with properties calculated at the GGA-PBE level.

Cell and atoms, written as CIF:
```
data_ErZnIrRh
_cell_length_a 3.659
_cell_length_b 4.227
_cell_length_c 4.269
_cell_angle_alpha 90.00
_cell_angle_beta 90.00
_cell_angle_gamma 90.00
_space_group_name_H-M_alt 'P m m m'
_space_group_IT_number 47
_space_group_name_Hall '-P 2 2'
loop_
_atom_site_label
_atom_site_fract_x
_atom_site_fract_y
_atom_site_fract_z
Er1 0.000 0.000 0.000
Zn1 0.000 0.500 0.500
Ir1 0.500 0.000 0.500
Rh1 0.500 0.500 0.000
```

Results
N(E_F): 2.1 states/eV/cell
ΔH_f (0 K): -59.5 kJ/mol of atoms
Size of the total moment: 0.0 μB per formula unit
Total DFT energy (no corrections): -24.5 eV/f.u.

Entry 3:
Below is a geometry-optimized ZrBeBiPt2 structure, with properties calculated at the GGA-PBE level.

Cell and atoms, written as CIF:
```
data_ZrBeBiPt2
_cell_length_a 5.139
_cell_length_b 5.139
_cell_length_c 4.366
_cell_angle_alpha 90.00
_cell_angle_beta 90.00
_cell_angle_gamma 90.00
_space_group_name_H-M_alt 'P 4/m m m'
_space_group_IT_number 123
_space_group_name_Hall '-P 4 2'
loop_
_atom_site_label
_atom_site_fract_x
_atom_site_fract_y
_atom_site_fract_z
Zr1 0.000 0.000 0.000
Be1 0.500 0.500 0.000
Bi1 0.500 0.500 0.500
Pt1 0.000 0.500 0.500
```

Results
N(E_F): 5.2 states/eV/cell
ΔH_f (0 K): 87.1 kJ/mol of atoms
Size of the total moment: 0.5 μB per formula unit
Total DFT energy (no corrections): -23.7 eV/f.u.

Entry 4:
Below is a geometry-optimized LiAcTlAu structure, with properties calculated at the GGA-PBE level.

Cell and atoms, written as CIF:
```
data_LiAcTlAu
_cell_length_a 7.555
_cell_length_b 7.555
_cell_length_c 7.555
_cell_angle_alpha 90.00
_cell_angle_beta 90.00
_cell_angle_gamma 90.00
_space_group_name_H-M_alt 'F -4 3 m'
_space_group_IT_number 216
_space_group_name_Hall 'F -4 2 3'
loop_
_atom_site_label
_atom_site_fract_x
_atom_site_fract_y
_atom_site_fract_z
Li1 0.000 0.000 0.000
Ac1 0.000 0.000 0.500
Tl1 0.250 0.250 0.250
Au1 0.250 0.250 0.750
```

Results
N(E_F): 11.0 states/eV/cell
ΔH_f (0 K): -40.3 kJ/mol of atoms
Size of the total moment: 0.0 μB per formula unit
Total DFT energy (no corrections): -13.3 eV/f.u.

Entry 5:
Below is a geometry-optimized Mo3AsPt structure, with properties calculated at the GGA-PBE level.

Cell and atoms, written as CIF:
```
data_Mo3AsPt
_cell_length_a 4.552
_cell_length_b 4.552
_cell_length_c 4.552
_cell_angle_alpha 90.00
_cell_angle_beta 90.00
_cell_angle_gamma 90.00
_space_group_name_H-M_alt 'P m -3 m'
_space_group_IT_number 221
_space_group_name_Hall '-P 4 2 3'
loop_
_atom_site_label
_atom_site_fract_x
_atom_site_fract_y
_atom_site_fract_z
Mo1 0.000 0.000 0.500
As1 0.000 0.000 0.000
Pt1 0.500 0.500 0.500
```

Results
N(E_F): 9.0 states/eV/cell
ΔH_f (0 K): 111.8 kJ/mol of atoms
Size of the total moment: 0.0 μB per formula unit
Total DFT energy (no corrections): -37.4 eV/f.u.

Entry 6:
Below is a geometry-optimized Ce3Ni2Ge3 structure, with properties calculated at the GGA-PBE level.

Cell and atoms, written as CIF:
```
data_Ce3Ni2Ge3
_cell_length_a 4.264
_cell_length_b 10.409
_cell_length_c 14.446
_cell_angle_alpha 90.00
_cell_angle_beta 90.00
_cell_angle_gamma 90.00
_space_group_name_H-M_alt 'C m c m'
_space_group_IT_number 63
_space_group_name_Hall '-C 2c 2'
loop_
_atom_site_label
_atom_site_fract_x
_atom_site_fract_y
_atom_site_fract_z
Ce1 0.000 0.091 0.109
Ce2 0.000 0.374 0.250
Ni1 0.000 0.204 0.600
Ge1 0.000 0.330 0.750
Ge2 0.000 0.379 0.039
```

Results
N(E_F): 42.0 states/eV/cell
ΔH_f (0 K): -68.8 kJ/mol of atoms
Size of the total moment: 1.5 μB per formula unit
Total DFT energy (no corrections): -48.9 eV/f.u.

Entry 7:
Below is a geometry-optimized PC structure, with properties calculated at the GGA-PBE level.

Cell and atoms, written as CIF:
```
data_PC
_cell_length_a 4.799
_cell_length_b 4.799
_cell_length_c 4.799
_cell_angle_alpha 90.00
_cell_angle_beta 90.00
_cell_angle_gamma 90.00
_space_group_name_H-M_alt 'P 21 3'
_space_group_IT_number 198
_space_group_name_Hall 'P 2ac 2ab 3'
loop_
_atom_site_label
_atom_site_fract_x
_atom_site_fract_y
_atom_site_fract_z
P1 0.064 0.436 0.564
C1 0.152 0.652 0.848
```

Results
N(E_F): 2.4 states/eV/cell
ΔH_f (0 K): 80.3 kJ/mol of atoms
Size of the total moment: 0.0 μB per formula unit
Total DFT energy (no corrections): -13.0 eV/f.u.

Entry 8:
Below is a geometry-optimized MgNbInRu structure, with properties calculated at the GGA-PBE level.

Cell and atoms, written as CIF:
```
data_MgNbInRu
_cell_length_a 6.505
_cell_length_b 6.505
_cell_length_c 6.505
_cell_angle_alpha 90.00
_cell_angle_beta 90.00
_cell_angle_gamma 90.00
_space_group_name_H-M_alt 'F -4 3 m'
_space_group_IT_number 216
_space_group_name_Hall 'F -4 2 3'
loop_
_atom_site_label
_atom_site_fract_x
_atom_site_fract_y
_atom_site_fract_z
Mg1 0.000 0.000 0.000
Nb1 0.250 0.250 0.750
In1 0.250 0.250 0.250
Ru1 0.000 0.000 0.500
```

Results
N(E_F): 0.0 states/eV/cell
ΔH_f (0 K): -11.0 kJ/mol of atoms
Size of the total moment: 0.0 μB per formula unit
Total DFT energy (no corrections): -24.1 eV/f.u.

Entry 9:
Below is a geometry-optimized PrEr2PaN4 structure, with properties calculated at the GGA-PBE level.

Cell and atoms, written as CIF:
```
data_PrEr2PaN4
_cell_length_a 6.039
_cell_length_b 3.517
_cell_length_c 6.099
_cell_angle_alpha 90.00
_cell_angle_beta 109.18
_cell_angle_gamma 90.00
_space_group_name_H-M_alt 'P 1 2/m 1'
_space_group_IT_number 10
_space_group_name_Hall '-P 2y'
loop_
_atom_site_label
_atom_site_fract_x
_atom_site_fract_y
_atom_site_fract_z
Pr1 0.000 0.000 0.000
Er1 0.500 0.000 0.500
Er2 0.500 0.500 0.000
Pa1 0.000 0.500 0.500
N1 0.252 0.000 0.736
N2 0.253 0.500 0.277
```

Results
N(E_F): 3.3 states/eV/cell
Size of the total moment: 0.0 μB per formula unit
Formation energy without anion corrections: -37.152 kcal/mol of atoms
Total DFT energy (no corrections): -69.6 eV/f.u.

Entry 10:
Below is a geometry-optimized Mn2CoOs structure, with properties calculated at the GGA-PBE level.

Cell and atoms, written as CIF:
```
data_Mn2CoOs
_cell_length_a 2.755
_cell_length_b 4.344
_cell_length_c 8.377
_cell_angle_alpha 90.00
_cell_angle_beta 90.00
_cell_angle_gamma 90.00
_space_group_name_H-M_alt 'C m m 2'
_space_group_IT_number 35
_space_group_name_Hall 'C 2 -2'
loop_
_atom_site_label
_atom_site_fract_x
_atom_site_fract_y
_atom_site_fract_z
Mn1 0.000 0.000 0.000
Mn2 0.000 0.500 0.242
Co1 0.000 0.500 0.762
Os1 0.000 0.000 0.496
```

Results
N(E_F): 11.9 states/eV/cell
ΔH_f (0 K): 29.9 kJ/mol of atoms
Size of the total moment: 5.5 μB per formula unit
Total DFT energy (no corrections): -35.4 eV/f.u.

Entry 11:
Below is a geometry-optimized Tb4Pm2Nd3 structure, with properties calculated at the GGA-PBE level.

Cell and atoms, written as CIF:
```
data_Tb4Pm2Nd3
_cell_length_a 16.694
_cell_length_b 11.749
_cell_length_c 6.181
_cell_angle_alpha 90.00
_cell_angle_beta 96.54
_cell_angle_gamma 90.00
_space_group_name_H-M_alt 'C 1 2/c 1'
_space_group_IT_number 15
_space_group_name_Hall '-C 2yc'
loop_
_atom_site_label
_atom_site_fract_x
_atom_site_fract_y
_atom_site_fract_z
Tb1 0.047 0.138 0.017
Tb2 0.217 0.362 0.850
Pm1 0.121 0.361 0.320
Nd1 0.000 0.399 0.750
Nd2 0.165 0.100 0.591
```

Results
N(E_F): 50.6 states/eV/cell
ΔH_f (0 K): 8.8 kJ/mol of atoms
Size of the total moment: 0.0 μB per formula unit
Total DFT energy (no corrections): -41.5 eV/f.u.

Entry 12:
Below is a geometry-optimized CsK2BiPd structure, with properties calculated at the GGA-PBE level.

Cell and atoms, written as CIF:
```
data_CsK2BiPd
_cell_length_a 6.314
_cell_length_b 6.314
_cell_length_c 5.373
_cell_angle_alpha 90.00
_cell_angle_beta 90.00
_cell_angle_gamma 90.00
_space_group_name_H-M_alt 'P 4/m m m'
_space_group_IT_number 123
_space_group_name_Hall '-P 4 2'
loop_
_atom_site_label
_atom_site_fract_x
_atom_site_fract_y
_atom_site_fract_z
Cs1 0.000 0.000 0.000
K1 0.000 0.500 0.500
Bi1 0.500 0.500 0.000
Pd1 0.500 0.500 0.500
```

Results
N(E_F): 2.9 states/eV/cell
ΔH_f (0 K): -18.9 kJ/mol of atoms
Size of the total moment: 0.2 μB per formula unit
Total DFT energy (no corrections): -13.1 eV/f.u.

Entry 13:
Below is a geometry-optimized FeHgH2Cl structure, with properties calculated at the GGA-PBE level.

Cell and atoms, written as CIF:
```
data_FeHgH2Cl
_cell_length_a 3.776
_cell_length_b 3.776
_cell_length_c 5.739
_cell_angle_alpha 90.00
_cell_angle_beta 90.00
_cell_angle_gamma 90.00
_space_group_name_H-M_alt 'P 4/m m m'
_space_group_IT_number 123
_space_group_name_Hall '-P 4 2'
loop_
_atom_site_label
_atom_site_fract_x
_atom_site_fract_y
_atom_site_fract_z
Fe1 0.000 0.000 0.000
Hg1 0.000 0.000 0.500
H1 0.000 0.500 0.000
Cl1 0.500 0.500 0.500
```

Results
N(E_F): 3.5 states/eV/cell
Size of the total moment: 3.4 μB per formula unit
Total DFT energy (no corrections): -15.0 eV/f.u.

Entry 14:
Below is a geometry-optimized Sc2SiP structure, with properties calculated at the GGA-PBE level.

Cell and atoms, written as CIF:
```
data_Sc2SiP
_cell_length_a 3.917
_cell_length_b 5.096
_cell_length_c 7.301
_cell_angle_alpha 90.00
_cell_angle_beta 90.00
_cell_angle_gamma 90.00
_space_group_name_H-M_alt 'I m m m'
_space_group_IT_number 71
_space_group_name_Hall '-I 2 2'
loop_
_atom_site_label
_atom_site_fract_x
_atom_site_fract_y
_atom_site_fract_z
Sc1 0.000 0.000 0.241
Si1 0.000 0.500 0.000
P1 0.000 0.500 0.500
```

Results
N(E_F): 4.6 states/eV/cell
Size of the total moment: 0.0 μB per formula unit
Formation energy without anion corrections: -16.578 kcal/mol of atoms
Total DFT energy (no corrections): -26.4 eV/f.u.

Entry 15:
Below is a geometry-optimized Mn2InW structure, with properties calculated at the GGA-PBE level.

Cell and atoms, written as CIF:
```
data_Mn2InW
_cell_length_a 2.8974
_cell_length_b 2.8974
_cell_length_c 26.0480
_cell_angle_alpha 90.00
_cell_angle_beta 90.00
_cell_angle_gamma 120.00
_space_group_name_H-M_alt 'R 3 m'
_space_group_IT_number 160
_space_group_name_Hall 'R 3 -2"'
loop_
_atom_site_label
_atom_site_fract_x
_atom_site_fract_y
_atom_site_fract_z
Mn1 0.0000 0.0000 0.0000
Mn2 0.0000 0.0000 0.2606
In1 0.0000 0.0000 0.5026
W1 0.0000 0.0000 0.7400
```

Results
N(E_F): 11.2 states/eV/cell
ΔH_f (0 K): 47.8 kJ/mol of atoms
Size of the total moment: 3.8 μB per formula unit
Total DFT energy (no corrections): -32.0 eV/f.u.

Entry 16:
Below is a geometry-optimized La4Tl5Pd2 structure, with properties calculated at the GGA-PBE level.

Cell and atoms, written as CIF:
```
data_La4Tl5Pd2
_cell_length_a 8.137
_cell_length_b 3.887
_cell_length_c 10.030
_cell_angle_alpha 90.00
_cell_angle_beta 94.50
_cell_angle_gamma 90.00
_space_group_name_H-M_alt 'P 1 2/m 1'
_space_group_IT_number 10
_space_group_name_Hall '-P 2y'
loop_
_atom_site_label
_atom_site_fract_x
_atom_site_fract_y
_atom_site_fract_z
La1 0.190 0.000 0.350
La2 0.225 0.000 0.930
Tl1 0.160 0.500 0.642
Tl2 0.454 0.500 0.170
Tl3 0.500 0.500 0.500
Pd1 0.075 0.500 0.135
```

Results
N(E_F): 8.3 states/eV/cell
ΔH_f (0 K): -50.8 kJ/mol of atoms
Size of the total moment: 0.0 μB per formula unit
Total DFT energy (no corrections): -47.7 eV/f.u.

Entry 17:
Below is a geometry-optimized Mg2FeRh structure, with properties calculated at the GGA-PBE level.

Cell and atoms, written as CIF:
```
data_Mg2FeRh
_cell_length_a 3.065
_cell_length_b 3.065
_cell_length_c 7.050
_cell_angle_alpha 90.00
_cell_angle_beta 90.00
_cell_angle_gamma 90.00
_space_group_name_H-M_alt 'P 4 m m'
_space_group_IT_number 99
_space_group_name_Hall 'P 4 -2'
loop_
_atom_site_label
_atom_site_fract_x
_atom_site_fract_y
_atom_site_fract_z
Mg1 0.000 0.000 0.000
Mg2 0.500 0.500 0.334
Fe1 0.500 0.500 0.762
Rh1 0.000 0.000 0.570
```

Results
N(E_F): 1.6 states/eV/cell
ΔH_f (0 K): -11.2 kJ/mol of atoms
Size of the total moment: 3.1 μB per formula unit
Total DFT energy (no corrections): -19.5 eV/f.u.

Entry 18:
Below is a geometry-optimized NdY7Ho4 structure, with properties calculated at the GGA-PBE level.

Cell and atoms, written as CIF:
```
data_NdY7Ho4
_cell_length_a 12.085
_cell_length_b 5.874
_cell_length_c 12.676
_cell_angle_alpha 90.00
_cell_angle_beta 117.44
_cell_angle_gamma 90.00
_space_group_name_H-M_alt 'C 1 2/m 1'
_space_group_IT_number 12
_space_group_name_Hall '-C 2y'
loop_
_atom_site_label
_atom_site_fract_x
_atom_site_fract_y
_atom_site_fract_z
Nd1 0.000 0.000 0.000
Y1 0.000 0.500 0.000
Y2 0.058 0.000 0.329
Y3 0.135 0.500 0.504
Y4 0.210 0.000 0.922
Ho1 0.134 0.500 0.774
Ho2 0.250 0.000 0.684
```

Results
N(E_F): 44.5 states/eV/cell
ΔH_f (0 K): 27.6 kJ/mol of atoms
Size of the total moment: 0.0 μB per formula unit
Total DFT energy (no corrections): -64.9 eV/f.u.

Entry 19:
Below is a geometry-optimized BaTiRuC2 structure, with properties calculated at the GGA-PBE level.

Cell and atoms, written as CIF:
```
data_BaTiRuC2
_cell_length_a 4.156
_cell_length_b 4.156
_cell_length_c 4.852
_cell_angle_alpha 90.00
_cell_angle_beta 90.00
_cell_angle_gamma 90.00
_space_group_name_H-M_alt 'P 4/m m m'
_space_group_IT_number 123
_space_group_name_Hall '-P 4 2'
loop_
_atom_site_label
_atom_site_fract_x
_atom_site_fract_y
_atom_site_fract_z
Ba1 0.000 0.000 0.000
Ti1 0.500 0.500 0.000
Ru1 0.500 0.500 0.500
C1 0.000 0.500 0.500
```

Results
N(E_F): 4.9 states/eV/cell
ΔH_f (0 K): 118.9 kJ/mol of atoms
Size of the total moment: 1.2 μB per formula unit
Total DFT energy (no corrections): -31.4 eV/f.u.

Entry 20:
Below is a geometry-optimized KSb2TeS structure, with properties calculated at the GGA-PBE level.

Cell and atoms, written as CIF:
```
data_KSb2TeS
_cell_length_a 5.266
_cell_length_b 5.266
_cell_length_c 5.755
_cell_angle_alpha 90.00
_cell_angle_beta 90.00
_cell_angle_gamma 90.00
_space_group_name_H-M_alt 'P 4/m m m'
_space_group_IT_number 123
_space_group_name_Hall '-P 4 2'
loop_
_atom_site_label
_atom_site_fract_x
_atom_site_fract_y
_atom_site_fract_z
K1 0.000 0.000 0.000
Sb1 0.000 0.500 0.500
Te1 0.500 0.500 0.000
S1 0.000 0.000 0.500
```

Results
N(E_F): 3.7 states/eV/cell
Size of the total moment: 0.0 μB per formula unit
Formation energy without anion corrections: 0.146 kcal/mol of atoms
Total DFT energy (no corrections): -16.6 eV/f.u.